# Cd2RuW

A relaxed Cd2RuW crystal (PBE, Alexandria).

abc: 4.5978 4.5978 4.5978
angles: 60.00 60.00 60.00
Last column: nearest neighbours and their distance in Å.
Sites, in units of the cell vectors:
Ru (0.0000, 0.0000, 0.0000)  8 Cd 2.82
W (0.5000, 0.5000, 0.5000)  8 Cd 2.82
Cd (0.2500, 0.2500, 0.2500)  4 W 2.82, 4 Ru 2.82
Cd (0.7500, 0.7500, 0.7500)  4 W 2.82, 4 Ru 2.82

DOS at the Fermi energy: 3.7 states/eV per cell
Energy of formation: 0.881 eV/atom
ρ: 12.3 g/cm3
Crystal system: cubic
Total magnetic moment: 0.000 μB per formula unit